Record 1
Li4ZrHg | PBE | optimized geometry

Summary:
The calculation puts the formation energy from the elements at 0.45 eV per formula unit. The calculation puts the density of states at the Fermi level at 1.92 states/eV per cell.

Unit cell a=5.2355 b=5.2355 c=5.2355 alpha=60.00 beta=60.00 gamma=60.00
Sites, in units of the cell vectors:
Li: 0.3758 0.3758 0.3758
Li: 0.3758 0.3758 0.8725
Li: 0.3758 0.8725 0.3758
Li: 0.8725 0.3758 0.3758
Zr: 0.0000 0.0000 0.0000
Hg: 0.7500 0.7500 0.7500



Record 2
ZnSe4Cl | PBE | optimized geometry

Summary:
As for the raw formation energy: 42.0 kJ/mol of atoms. The calculation puts the density of states at the Fermi level at 9.14 states/eV per cell.

Unit cell a=5.6981 b=5.6981 c=5.6981 alpha=60.00 beta=60.00 gamma=60.00
Sites, in units of the cell vectors:
Zn: 0.0000 0.0000 0.0000
Se: 0.3756 0.3756 0.3756
Se: 0.3756 0.3756 0.8731
Se: 0.3756 0.8731 0.3756
Se: 0.8731 0.3756 0.3756
Cl: 0.7500 0.7500 0.7500



Record 3
Cs2BaSiO4 | PBE | optimized geometry

Summary:
As for the raw formation energy: -199.4 kJ/mol of atoms. The calculation puts the density of states at the Fermi level at 0.00 states/eV per cell.

Unit cell a=14.9260 b=14.0006 c=6.7865 alpha=84.17 beta=68.93 gamma=26.89
Sites, in units of the cell vectors:
Cs: 0.0672 0.0672 0.6828
Cs: 0.3172 0.3172 0.9328
Cs: 0.6828 0.6828 0.0672
Cs: 0.9328 0.9328 0.3172
Ba: 0.1250 0.1250 0.1250
Ba: 0.8750 0.8750 0.8750
Si: 0.3750 0.3750 0.3750
Si: 0.6250 0.6250 0.6250
O: 0.1004 0.5833 0.4831
O: 0.3332 0.4831 0.5833
O: 0.4167 0.8996 0.6668
O: 0.4831 0.3332 0.1004
O: 0.5169 0.6668 0.8996
O: 0.5833 0.1004 0.3332
O: 0.6668 0.5169 0.4167
O: 0.8996 0.4167 0.5169



Record 4
Co3MoIr | PBE | optimized geometry

Summary:
The calculation puts the formation energy from the elements at 8.37 eV per formula unit. The calculation puts the density of states at the Fermi level at 8.48 states/eV per cell. The calculation puts the energy relative to the lowest polymorph listed for this composition at 0.013 eV per atom.

Unit cell a=4.3036 b=4.3036 c=4.3036 alpha=90.00 beta=90.00 gamma=90.00
Sites, in units of the cell vectors:
Co: 0.0000 0.0000 0.5000
Co: 0.0000 0.5000 0.0000
Co: 0.5000 0.0000 0.0000
Mo: 0.0000 0.0000 0.0000
Ir: 0.5000 0.5000 0.5000



Record 5
Hf6Fe5Tc | PBE | optimized geometry

Summary:
The calculation puts the formation energy from the elements at -4.32 eV per formula unit. The calculation puts the density of states at the Fermi level at 3.10 states/eV per cell.

Unit cell a=7.7312 b=7.7312 c=4.4690 alpha=106.71 beta=106.71 gamma=48.23
Sites, in units of the cell vectors:
Hf: 0.0805 0.5837 0.3321
Hf: 0.2468 0.7532 0.0000
Hf: 0.4163 0.9195 0.6679
Hf: 0.5837 0.0805 0.3321
Hf: 0.7532 0.2468 0.0000
Hf: 0.9195 0.4163 0.6679
Fe: 0.0000 0.0000 0.5000
Fe: 0.1670 0.1670 0.1670
Fe: 0.3321 0.3321 0.8321
Fe: 0.6679 0.6679 0.1679
Fe: 0.8330 0.8330 0.8330
Tc: 0.5000 0.5000 0.5000



Record 6
Mn3NbI | PBE | optimized geometry

Summary:
As for the raw formation energy: 125.2 kJ/mol of atoms. The calculation puts the density of states at the Fermi level at 7.59 states/eV per cell. The calculation puts the energy relative to the lowest polymorph listed for this composition at 0.000 eV per atom.

Unit cell a=4.9738 b=4.9738 c=4.9738 alpha=90.00 beta=90.00 gamma=90.00
Sites, in units of the cell vectors:
Mn: 0.0000 0.0000 0.5000
Mn: 0.0000 0.5000 0.0000
Mn: 0.5000 0.0000 0.0000
Nb: 0.0000 0.0000 0.0000
I: 0.5000 0.5000 0.5000



Record 7
La3MgNi | PBE | optimized geometry

Summary:
The calculation puts the formation energy from the elements at -0.51 eV per formula unit. The calculation puts the density of states at the Fermi level at 12.10 states/eV per cell. The calculation puts the energy relative to the lowest polymorph listed for this composition at 0.000 eV per atom.

Unit cell a=9.0681 b=3.8138 c=9.2841 alpha=90.00 beta=111.99 gamma=90.00
Sites, in units of the cell vectors:
La: 0.0194 0.2500 0.2261
La: 0.3199 0.7500 0.5637
La: 0.3410 0.2500 0.8859
La: 0.6590 0.7500 0.1141
La: 0.6801 0.2500 0.4363
La: 0.9806 0.7500 0.7739
Mg: 0.3297 0.7500 0.1948
Mg: 0.6703 0.2500 0.8052
Ni: 0.0675 0.2500 0.5787
Ni: 0.9325 0.7500 0.4213



Record 8
Mg3SnAs | PBE | optimized geometry

Summary:
The calculation puts the formation energy from the elements at -0.38 eV per formula unit. The calculation puts the density of states at the Fermi level at 4.83 states/eV per cell. The calculation puts the energy relative to the lowest polymorph listed for this composition at 0.000 eV per atom.

Unit cell a=5.0294 b=5.0294 c=5.0294 alpha=90.00 beta=90.00 gamma=90.00
Sites, in units of the cell vectors:
Mg: 0.0000 0.0000 0.5000
Mg: 0.0000 0.5000 0.0000
Mg: 0.5000 0.0000 0.0000
Sn: 0.5000 0.5000 0.5000
As: 0.0000 0.0000 0.0000



Record 9
Y2HgB2 | PBE | optimized geometry

Summary:
The calculation puts the formation energy from the elements at -1.41 eV per formula unit. The calculation puts the density of states at the Fermi level at 4.49 states/eV per cell.

Unit cell a=6.9661 b=6.9661 c=3.7105 alpha=90.00 beta=90.00 gamma=90.00
Sites, in units of the cell vectors:
Y: 0.1809 0.3191 0.0000
Y: 0.3191 0.8191 0.0000
Y: 0.6809 0.1809 0.0000
Y: 0.8191 0.6809 0.0000
Hg: 0.0000 0.0000 0.5000
Hg: 0.5000 0.5000 0.5000
B: 0.0830 0.5830 0.5000
B: 0.4170 0.0830 0.5000
B: 0.5830 0.9170 0.5000
B: 0.9170 0.4170 0.5000



Record 10
La2ZnP3Rh4 | PBE | optimized geometry

Summary:
The calculation puts the formation energy from the elements at -10.22 eV per formula unit. The calculation puts the density of states at the Fermi level at 5.47 states/eV per cell.

Unit cell a=4.1651 b=4.1651 c=9.9961 alpha=90.00 beta=90.00 gamma=90.00
Sites, in units of the cell vectors:
La: 0.0000 0.5000 0.2459
La: 0.5000 0.0000 0.7541
Zn: 0.5000 0.5000 0.0000
P: 0.0000 0.0000 0.0000
P: 0.0000 0.5000 0.6327
P: 0.5000 0.0000 0.3673
Rh: 0.0000 0.0000 0.5000
Rh: 0.0000 0.5000 0.8675
Rh: 0.5000 0.0000 0.1325
Rh: 0.5000 0.5000 0.5000



Record 11
Ta5Mn4Fe | PBE | optimized geometry

Summary:
The calculation puts the formation energy from the elements at -2.27 eV per formula unit. The calculation puts the density of states at the Fermi level at 3.87 states/eV per cell.

Unit cell a=3.0645 b=3.0645 c=15.2572 alpha=90.00 beta=90.00 gamma=90.00
Sites, in units of the cell vectors:
Ta: 0.0000 0.0000 0.0000
Ta: 0.0000 0.0000 0.2000
Ta: 0.0000 0.0000 0.3997
Ta: 0.0000 0.0000 0.6003
Ta: 0.0000 0.0000 0.8000
Mn: 0.5000 0.5000 0.1003
Mn: 0.5000 0.5000 0.3010
Mn: 0.5000 0.5000 0.6990
Mn: 0.5000 0.5000 0.8997
Fe: 0.5000 0.5000 0.5000



Record 12
TmI3N | PBE | optimized geometry

Summary:
As for the raw formation energy: -7.6 kJ/mol of atoms. The calculation puts the density of states at the Fermi level at 0.00 states/eV per cell.

Unit cell a=7.6004 b=7.6032 c=9.6556 alpha=67.49 beta=67.63 gamma=60.06
Sites, in units of the cell vectors:
Tm: 0.1668 0.1669 0.4994
Tm: 0.8332 0.8331 0.5006
I: 0.0785 0.4337 0.7018
I: 0.2066 0.9242 0.2972
I: 0.4344 0.7919 0.7023
I: 0.5656 0.2081 0.2977
I: 0.7934 0.0758 0.7028
I: 0.9215 0.5663 0.2982
N: 0.3368 0.3409 0.9849
N: 0.6632 0.6591 0.0151



Record 13
CdTeAu | PBE | optimized geometry

Summary:
As for the raw formation energy: -6.8 kJ/mol of atoms. The calculation puts the density of states at the Fermi level at 0.89 states/eV per cell. The calculation puts the energy relative to the lowest polymorph listed for this composition at 0.101 eV per atom.

Unit cell a=4.5425 b=4.5425 c=4.6685 alpha=111.48 beta=111.48 gamma=63.62
Sites, in units of the cell vectors:
Cd: 0.0000 0.0000 0.0000
Te: 0.4685 0.4685 0.5529
Au: 0.7352 0.7352 0.2660



Record 14
PdF | PBE | optimized geometry

Summary:
As for the raw formation energy: -47.3 kJ/mol of atoms. The calculation puts the density of states at the Fermi level at 27.50 states/eV per cell. The calculation puts the energy relative to the lowest polymorph listed for this composition at 0.234 eV per atom.

Unit cell a=7.9041 b=7.9041 c=4.2869 alpha=90.00 beta=90.00 gamma=90.00
Sites, in units of the cell vectors:
Pd: 0.0316 0.7783 0.0000
Pd: 0.2217 0.0316 0.0000
Pd: 0.2527 0.6324 0.5000
Pd: 0.3676 0.2527 0.5000
Pd: 0.6324 0.7473 0.5000
Pd: 0.7473 0.3676 0.5000
Pd: 0.7783 0.9684 0.0000
Pd: 0.9684 0.2217 0.0000
F: 0.1473 0.3936 0.5000
F: 0.2568 0.6188 0.0000
F: 0.3812 0.2568 0.0000
F: 0.3936 0.8527 0.5000
F: 0.6064 0.1473 0.5000
F: 0.6188 0.7432 0.0000
F: 0.7432 0.3812 0.0000
F: 0.8527 0.6064 0.5000



Record 15
BSbS2Cl | PBE | optimized geometry

Summary:
As for the raw formation energy: 98.9 kJ/mol of atoms. The calculation puts the density of states at the Fermi level at 1.65 states/eV per cell. The calculation puts the energy relative to the lowest polymorph listed for this composition at 0.620 eV per atom.

Unit cell a=5.0616 b=5.0616 c=5.2201 alpha=90.00 beta=90.00 gamma=90.00
Sites, in units of the cell vectors:
B: 0.0000 0.0000 0.0000
Sb: 0.5000 0.5000 0.5000
S: 0.0000 0.5000 0.5000
S: 0.5000 0.0000 0.5000
Cl: 0.5000 0.5000 0.0000



Record 16
AlPS2N | PBE | optimized geometry

Summary:
As for the raw formation energy: 86.5 kJ/mol of atoms. The calculation puts the density of states at the Fermi level at 3.18 states/eV per cell. The calculation puts the energy relative to the lowest polymorph listed for this composition at 0.536 eV per atom.

Unit cell a=4.3199 b=4.3199 c=3.8066 alpha=90.00 beta=90.00 gamma=90.00
Sites, in units of the cell vectors:
Al: 0.0000 0.0000 0.0000
P: 0.5000 0.5000 0.0000
S: 0.0000 0.5000 0.5000
S: 0.5000 0.0000 0.5000
N: 0.5000 0.5000 0.5000



Record 17
PuCdCuGe | PBE | optimized geometry

Summary:
The calculation puts the formation energy from the elements at -0.41 eV per formula unit. The calculation puts the density of states at the Fermi level at 9.42 states/eV per cell.

Unit cell a=4.8251 b=4.8251 c=4.8251 alpha=60.00 beta=60.00 gamma=60.00
Sites, in units of the cell vectors:
Pu: 0.0000 0.0000 0.0000
Cd: 0.5000 0.5000 0.5000
Cu: 0.7500 0.7500 0.7500
Ge: 0.2500 0.2500 0.2500



Record 18
CdH | PBE | optimized geometry

Summary:
The calculation puts the density of states at the Fermi level at 0.64 states/eV per cell. The calculation puts the energy relative to the lowest polymorph listed for this composition at 0.000 eV per atom.

Unit cell a=2.9028 b=4.9412 c=5.0717 alpha=61.05 beta=89.81 gamma=89.87
Sites, in units of the cell vectors:
Cd: 0.2369 0.3330 0.3299
Cd: 0.7631 0.6670 0.6701
H: 0.4956 0.0846 0.9844
H: 0.5044 0.9154 0.0156



Record 19
HoTmAu2 | PBE | optimized geometry

Summary:
The calculation puts the formation energy from the elements at -3.50 eV per formula unit. The calculation puts the density of states at the Fermi level at 2.37 states/eV per cell. The calculation puts the energy relative to the lowest polymorph listed for this composition at 0.004 eV per atom.

Unit cell a=5.0498 b=5.0498 c=5.0498 alpha=60.00 beta=60.00 gamma=60.00
Sites, in units of the cell vectors:
Ho: 0.0000 0.0000 0.0000
Tm: 0.5000 0.5000 0.5000
Au: 0.2500 0.2500 0.2500
Au: 0.7500 0.7500 0.7500



Record 20
Er3AgHg5 | PBE | optimized geometry

Summary:
The calculation puts the formation energy from the elements at -3.27 eV per formula unit. The calculation puts the density of states at the Fermi level at 11.38 states/eV per cell.

Unit cell a=8.8950 b=8.8950 c=6.1931 alpha=90.00 beta=90.00 gamma=120.00
Sites, in units of the cell vectors:
Er: 0.0000 0.3490 0.2500
Er: 0.0000 0.6510 0.7500
Er: 0.3490 0.0000 0.2500
Er: 0.3490 0.3490 0.7500
Er: 0.6510 0.0000 0.7500
Er: 0.6510 0.6510 0.2500
Ag: 0.0000 0.0000 0.0000
Ag: 0.0000 0.0000 0.5000
Hg: 0.0000 0.3123 0.7500
Hg: 0.0000 0.6877 0.2500
Hg: 0.3123 0.0000 0.7500
Hg: 0.3123 0.3123 0.2500
Hg: 0.3333 0.6667 0.0000
Hg: 0.3333 0.6667 0.5000
Hg: 0.6667 0.3333 0.0000
Hg: 0.6667 0.3333 0.5000
Hg: 0.6877 0.0000 0.2500
Hg: 0.6877 0.6877 0.7500